Entry 1:
Crystalline LiZrNb2Cr at its relaxed geometry. Source: Alexandria via LeMat-Bulk, functional PBE-GGA.

Structure (extended XYZ):
```
5
Lattice="4.317 0.000 0.000 0.000 4.317 0.000 0.000 0.000 4.708" Properties=species:S:1:pos:R:3 pbc="T T T"
Li 0.000 0.000 0.000
Zr 0.000 0.000 2.354
Nb 0.000 2.158 0.000
Nb 2.158 0.000 0.000
Cr 2.158 2.158 2.354
```

Results
calculated volume = 87.7 Å³/cell
uncorrected energy = -6.75 eV per atom
DOS(E_F) = 5.07 states/eV/f.u.
energy of formation = 623 kJ/mol of formula units

=====

Entry 2:
Crystalline FePd7Pt4 at its relaxed geometry. Source: Alexandria via LeMat-Bulk, functional PBE-GGA.

Structure (extended XYZ):
```
12
Lattice="4.907 -2.354 0.000 4.907 2.354 0.000 -2.427 0.000 8.522" Properties=species:S:1:pos:R:3 pbc="T T T"
Fe 0.000 0.000 0.000
Pd 0.450 0.000 2.418
Pd -0.082 0.000 7.829
Pd 2.333 0.000 4.656
Pd 4.907 0.000 0.000
Pd 5.055 0.000 3.866
Pd 7.470 0.000 0.693
Pd 6.938 0.000 6.104
Pt -0.287 0.000 5.214
Pt 3.102 0.000 1.977
Pt 4.286 0.000 6.545
Pt 7.676 0.000 3.308
```

Results
calculated volume = 196.9 Å³/cell
uncorrected energy = -5.56 eV per atom
DOS(E_F) = 13.68 states/eV/f.u.
energy of formation = 221 kJ/mol of formula units

=====

Entry 3:
Crystalline La5PrPd2 at its relaxed geometry. Source: Alexandria via LeMat-Bulk, functional PBE-GGA.

Structure (extended XYZ):
```
16
Lattice="2.025 -6.413 0.000 2.025 6.413 0.000 0.000 0.000 19.255" Properties=species:S:1:pos:R:3 pbc="T T T"
La 2.025 5.556 11.882
La 2.025 5.556 17.000
La 2.025 1.865 4.814
La 2.025 1.817 10.335
La 2.025 1.817 18.547
La 2.025 -1.817 0.707
La 2.025 -1.817 8.920
La 2.025 -1.865 14.441
La 2.025 -5.556 2.254
La 2.025 -5.556 7.373
Pr 2.025 1.609 14.441
Pr 2.025 -1.609 4.814
Pd 2.025 3.623 2.514
Pd 2.025 3.623 7.113
Pd 2.025 -3.623 12.141
Pd 2.025 -3.623 16.741
```

Results
calculated volume = 500.2 Å³/cell
uncorrected energy = -5.31 eV per atom
DOS(E_F) = 9.69 states/eV/f.u.
energy of formation = -258 kJ/mol of formula units

=====

Entry 4:
Crystalline RbLa2NpS5 at its relaxed geometry. Source: Alexandria via LeMat-Bulk, functional PBE-GGA.

Structure (extended XYZ):
```
9
Lattice="-2.532 3.662 7.121 2.532 -3.662 7.121 2.532 3.662 -7.121" Properties=species:S:1:pos:R:3 pbc="T T T"
Rb 0.000 0.000 0.000
La 2.532 0.000 4.174
La 0.000 3.662 2.947
Np 0.000 0.000 7.121
S 2.532 1.959 -2.153
S 2.532 1.959 2.153
S 0.000 3.662 0.000
S 0.000 1.703 4.968
S 0.000 1.703 9.275
```

Results
calculated volume = 264.1 Å³/cell
uncorrected energy = -6.69 eV per atom
energy relative to the elements, uncorrected = -1.76 eV/atom
DOS(E_F) = 10.45 states/eV/f.u.

=====

Entry 5:
Crystalline TaAlHg2Ir at its relaxed geometry. Source: Alexandria via LeMat-Bulk, functional PBE-GGA.

Structure (extended XYZ):
```
5
Lattice="5.167 0.000 0.000 0.000 5.167 0.000 0.000 0.000 4.562" Properties=species:S:1:pos:R:3 pbc="T T T"
Ta 0.000 0.000 0.000
Al 2.584 2.584 0.000
Hg 0.000 2.584 2.281
Hg 2.584 0.000 2.281
Ir 2.584 2.584 2.281
```

Results
calculated volume = 121.8 Å³/cell
uncorrected energy = -3.91 eV per atom
DOS(E_F) = 4.47 states/eV/f.u.
energy of formation = 530 kJ/mol of formula units

=====

Entry 6:
Crystalline Nd2Dy3YSe6 at its relaxed geometry. Source: Alexandria via LeMat-Bulk, functional PBE-GGA.

Structure (extended XYZ):
```
12
Lattice="9.016 -2.052 0.000 9.016 2.052 0.000 -2.003 0.000 8.078" Properties=species:S:1:pos:R:3 pbc="T T T"
Nd 2.363 0.000 2.716
Nd 13.666 0.000 5.362
Dy 1.391 0.000 6.734
Dy 8.015 0.000 4.039
Dy 14.638 0.000 1.345
Y 9.016 0.000 0.000
Se -1.438 0.000 6.069
Se 4.178 0.000 7.486
Se 5.267 0.000 3.301
Se 10.763 0.000 4.777
Se 11.851 0.000 0.592
Se 17.467 0.000 2.009
```

Results
calculated volume = 298.9 Å³/cell
uncorrected energy = -6.01 eV per atom
energy relative to the elements, uncorrected = -1.78 eV/atom
DOS(E_F) = 5.55 states/eV/f.u.

=====

Entry 7:
Crystalline ScTc2H at its relaxed geometry. Source: Alexandria via LeMat-Bulk, functional PBE-GGA.

Structure (extended XYZ):
```
16
Lattice="5.373 0.000 0.000 0.000 5.373 0.000 0.000 0.000 8.034" Properties=species:S:1:pos:R:3 pbc="T T T"
Sc 0.000 1.343 3.013
Sc 0.000 4.030 5.021
Sc 2.687 1.343 1.004
Sc 2.687 4.030 7.029
Tc 0.000 0.000 0.000
Tc 0.000 2.687 0.000
Tc 1.343 1.343 6.025
Tc 1.343 4.030 2.008
Tc 2.687 0.000 4.017
Tc 2.687 2.687 4.017
Tc 4.030 1.343 6.025
Tc 4.030 4.030 2.008
H 0.000 1.343 7.029
H 0.000 4.030 1.004
H 2.687 1.343 5.021
H 2.687 4.030 3.013
```

Results
calculated volume = 232.0 Å³/cell
energy relative to the lowest polymorph listed for this composition = 0 meV per atom
uncorrected energy = -7.51 eV per atom
DOS(E_F) = 4.39 states/eV/f.u.

=====

Entry 8:
Crystalline La3Tb2Pm7 at its relaxed geometry. Source: Alexandria via LeMat-Bulk, functional PBE-GGA.

Structure (extended XYZ):
```
12
Lattice="3.337 1.927 11.418 -3.337 1.927 11.418 0.000 -3.854 11.418" Properties=species:S:1:pos:R:3 pbc="T T T"
La 0.000 0.000 0.000
La 0.000 0.000 5.221
La 0.000 0.000 29.032
Tb 0.000 0.000 11.436
Tb 0.000 0.000 22.817
Pm -1.683 -0.972 14.281
Pm 0.000 -1.944 19.972
Pm -1.683 0.972 19.972
Pm 0.000 0.000 17.127
Pm 1.683 -0.972 14.281
Pm 0.000 1.944 14.281
Pm 1.683 0.972 19.972
```

Results
calculated volume = 440.5 Å³/cell
energy relative to the lowest polymorph listed for this composition = 174 meV per atom
uncorrected energy = -4.52 eV per atom
DOS(E_F) = 20.49 states/eV/f.u.
energy of formation = 295 kJ/mol of formula units

=====

Entry 9:
Crystalline ReAs2P at its relaxed geometry. Source: Alexandria via LeMat-Bulk, functional PBE-GGA.

Structure (extended XYZ):
```
8
Lattice="2.979 0.000 0.000 0.000 4.969 0.000 0.000 0.000 9.304" Properties=species:S:1:pos:R:3 pbc="T T T"
Re 0.000 0.000 0.000
Re 1.489 2.485 0.000
As 0.000 0.000 4.377
As 0.000 2.485 7.064
As 1.489 0.000 7.064
As 1.489 2.485 4.377
P 0.000 2.485 1.807
P 1.489 0.000 1.807
```

Results
calculated volume = 137.7 Å³/cell
uncorrected energy = -6.34 eV per atom
DOS(E_F) = 1.98 states/eV/f.u.
energy of formation = 174 kJ/mol of formula units

=====

Entry 10:
Crystalline LiPaB at its relaxed geometry. Source: Alexandria via LeMat-Bulk, functional PBE-GGA.

Structure (extended XYZ):
```
18
Lattice="6.554 0.000 0.000 0.000 3.756 0.000 -0.300 0.000 10.804" Properties=species:S:1:pos:R:3 pbc="T T T"
Li -0.111 0.939 4.658
Li 0.847 0.939 0.371
Li 2.029 2.817 7.617
Li 4.225 0.939 3.187
Li 5.408 2.817 10.432
Li 6.366 2.817 6.146
Pa -0.152 0.939 8.436
Pa 2.422 2.817 4.571
Pa 3.051 2.817 1.082
Pa 3.204 0.939 9.722
Pa 3.833 0.939 6.232
Pa 6.406 2.817 2.367
B 1.170 2.817 9.816
B 1.359 0.939 6.424
B 1.801 0.939 2.683
B 4.453 2.817 8.121
B 4.896 2.817 4.380
B 5.085 0.939 0.988
```

Results
calculated volume = 266.0 Å³/cell
uncorrected energy = -5.92 eV per atom
DOS(E_F) = 2.12 states/eV/f.u.
energy of formation = 31 kJ/mol of formula units

=====

Entry 11:
Crystalline LiCd2Pb at its relaxed geometry. Source: Alexandria via LeMat-Bulk, functional PBE-GGA.

Structure (extended XYZ):
```
16
Lattice="8.185 0.000 0.000 0.000 8.185 0.000 0.000 0.000 5.954" Properties=species:S:1:pos:R:3 pbc="T T T"
Li 0.000 0.000 0.000
Li 0.000 4.093 1.489
Li 4.093 0.000 4.466
Li 4.093 4.093 2.977
Cd 1.778 2.046 0.744
Cd 2.046 5.871 2.233
Cd 2.046 6.408 5.210
Cd 2.315 2.046 3.721
Cd 5.871 6.139 3.721
Cd 6.139 1.778 5.210
Cd 6.139 2.315 2.233
Cd 6.408 6.139 0.744
Pb 0.000 0.000 2.977
Pb 0.000 4.093 4.466
Pb 4.093 0.000 1.489
Pb 4.093 4.093 0.000
```

Results
calculated volume = 398.9 Å³/cell
uncorrected energy = -1.83 eV per atom
DOS(E_F) = 1.70 states/eV/f.u.
energy of formation = 11 kJ/mol of formula units

=====

Entry 12:
Crystalline CuRuPt2 at its relaxed geometry. Source: Alexandria via LeMat-Bulk, functional PBE-GGA.

Structure (extended XYZ):
```
12
Lattice="2.736 0.000 0.000 -1.368 2.369 0.000 0.000 0.000 26.728" Properties=species:S:1:pos:R:3 pbc="T T T"
Cu 0.000 0.000 0.000
Cu 0.000 1.580 17.819
Cu 1.368 0.790 8.909
Ru 0.000 0.000 6.793
Ru 0.000 1.580 24.612
Ru 1.368 0.790 15.703
Pt 0.000 0.000 13.473
Pt 0.000 0.000 19.967
Pt 0.000 1.580 4.563
Pt 0.000 1.580 11.057
Pt 1.368 0.790 2.148
Pt 1.368 0.790 22.382
```

Results
calculated volume = 173.3 Å³/cell
energy relative to the lowest polymorph listed for this composition = 60 meV per atom
uncorrected energy = -6.35 eV per atom
DOS(E_F) = 2.98 states/eV/f.u.
energy of formation = 5 kJ/mol of formula units